! PBE NbBiIr, optimized geometry; values from VASP
! E_tot ... -43.6 eV per cell
&SYSTEM
  ibrav = 0, nat = 6, ntyp = 3
/
ATOMIC_SPECIES
Ir 192.22 Ir.upf
Bi 208.98 Bi.upf
Nb 92.91 Nb.upf
CELL_PARAMETERS angstrom
3.259 0.000 0.000
-1.630 3.362 0.000
0.000 0.000 11.692
ATOMIC_POSITIONS crystal
Ir 0.289 0.579 0.500
Ir 0.603 0.207 0.000
Bi 0.598 0.196 0.339
Bi 0.598 0.196 0.661
Nb 0.289 0.577 0.139
Nb 0.289 0.577 0.861